1.
The following is a GGA-PBE calculation of a geometry-optimized Ba4Ag5Pt2 structure, from Alexandria via LeMat-Bulk.

Cell lengths 7.902, 4.482, 9.468 Å; angles 90.00, 92.43, 90.00 degrees
Sites, in units of the cell vectors:
Ba 0.212 0.000 0.151
Ba 0.239 0.000 0.612
Ba 0.761 0.000 0.388
Ba 0.788 0.000 0.849
Ag 0.148 0.500 0.880
Ag 0.418 0.500 0.365
Ag 0.500 0.500 0.000
Ag 0.582 0.500 0.635
Ag 0.852 0.500 0.120
Pt 0.061 0.500 0.369
Pt 0.939 0.500 0.631

Summary:
total DFT energy (no corrections): -3.464 eV per atom
density of states at the Fermi level: 2.8 states/eV per cell
total magnetization: 0.0 μB/cell
formation enthalpy at 0 K: -0.37 eV per atom

***

2.
The following is a GGA-PBE calculation of a geometry-optimized Ba2Ag2Pt structure, from Alexandria via LeMat-Bulk.

Cell lengths 7.924, 7.924, 4.702 Å; angles 90.00, 90.00, 90.00 degrees
Sites, in units of the cell vectors:
Ba 0.185 0.315 0.000
Ba 0.315 0.815 0.000
Ba 0.685 0.185 0.000
Ba 0.815 0.685 0.000
Ag 0.125 0.625 0.500
Ag 0.375 0.125 0.500
Ag 0.625 0.875 0.500
Ag 0.875 0.375 0.500
Pt 0.000 0.000 0.500
Pt 0.500 0.500 0.500

Summary:
total DFT energy (no corrections): -3.346 eV per atom
density of states at the Fermi level: 3.8 states/eV per cell
distance to the lowest polymorph of the same formula: 196 meV/atom
total magnetization: 0.0 μB/cell
formation enthalpy at 0 K: -0.23 eV per atom

***

3.
The following is a GGA-PBE calculation of a geometry-optimized Ba5Ag2Pt structure, from Alexandria via LeMat-Bulk.

Cell lengths 10.645, 10.645, 8.886 Å; angles 96.72, 96.72, 43.68 degrees
Sites, in units of the cell vectors:
Ba 0.077 0.923 0.750
Ba 0.138 0.290 0.305
Ba 0.289 0.513 0.076
Ba 0.290 0.138 0.805
Ba 0.487 0.711 0.424
Ba 0.513 0.289 0.576
Ba 0.710 0.862 0.195
Ba 0.711 0.487 0.924
Ba 0.862 0.710 0.695
Ba 0.923 0.077 0.250
Ag 0.102 0.697 0.428
Ag 0.303 0.898 0.072
Ag 0.697 0.102 0.928
Ag 0.898 0.303 0.572
Pt 0.000 0.500 0.000
Pt 0.500 0.000 0.500

Summary:
total DFT energy (no corrections): -3.036 eV per atom
density of states at the Fermi level: 9.6 states/eV per cell
total magnetization: 0.0 μB/cell
formation enthalpy at 0 K: -0.37 eV per atom

***

4.
The following is a GGA-PBE calculation of a geometry-optimized Ba12AgPt5 structure, from Alexandria via LeMat-Bulk.

Cell lengths 8.126, 8.126, 15.126 Å; angles 90.12, 90.12, 121.14 degrees
Sites, in units of the cell vectors:
Ba 0.003 0.670 0.610
Ba 0.146 0.146 0.117
Ba 0.149 0.502 0.884
Ba 0.330 0.997 0.390
Ba 0.336 0.336 0.612
Ba 0.498 0.851 0.116
Ba 0.502 0.149 0.884
Ba 0.664 0.664 0.388
Ba 0.670 0.003 0.610
Ba 0.851 0.498 0.116
Ba 0.854 0.854 0.883
Ba 0.997 0.330 0.390
Ag 0.500 0.500 0.000
Pt 0.000 0.000 0.500
Pt 0.166 0.834 0.000
Pt 0.334 0.666 0.500
Pt 0.666 0.334 0.500
Pt 0.834 0.166 0.000

Summary:
total DFT energy (no corrections): -3.675 eV per atom
density of states at the Fermi level: 8.2 states/eV per cell
total magnetization: 0.0 μB/cell
formation enthalpy at 0 K: -0.56 eV per atom

***

5.
The following is a GGA-PBE calculation of a geometry-optimized BaAg8Pt2 structure, from Alexandria via LeMat-Bulk.

Cell lengths 5.738, 5.738, 9.010 Å; angles 90.00, 90.00, 90.00 degrees
Sites, in units of the cell vectors:
Ba 0.000 0.000 0.000
Ag 0.251 0.251 0.300
Ag 0.251 0.251 0.700
Ag 0.251 0.749 0.300
Ag 0.251 0.749 0.700
Ag 0.749 0.251 0.300
Ag 0.749 0.251 0.700
Ag 0.749 0.749 0.300
Ag 0.749 0.749 0.700
Pt 0.000 0.500 0.500
Pt 0.500 0.000 0.500

Summary:
total DFT energy (no corrections): -3.095 eV per atom
density of states at the Fermi level: 2.0 states/eV per cell
total magnetization: 0.0 μB/cell
formation enthalpy at 0 K: 0.25 eV per atom

***

6.
The following is a GGA-PBE calculation of a geometry-optimized Ba5AgPt structure, from Alexandria via LeMat-Bulk.

Cell lengths 9.268, 4.819, 14.721 Å; angles 90.00, 92.35, 90.00 degrees
Sites, in units of the cell vectors:
Ba 0.065 0.250 0.160
Ba 0.145 0.750 0.572
Ba 0.332 0.750 0.020
Ba 0.350 0.250 0.781
Ba 0.361 0.250 0.366
Ba 0.639 0.750 0.634
Ba 0.650 0.750 0.219
Ba 0.668 0.250 0.980
Ba 0.855 0.250 0.428
Ba 0.935 0.750 0.840
Ag 0.067 0.750 0.334
Ag 0.933 0.250 0.666
Pt 0.442 0.250 0.148
Pt 0.558 0.750 0.852

Summary:
total DFT energy (no corrections): -2.959 eV per atom
density of states at the Fermi level: 13.7 states/eV per cell
total magnetization: 0.0 μB/cell
formation enthalpy at 0 K: -0.31 eV per atom

***

7.
The following is a GGA-PBE calculation of a geometry-optimized Ba4Ag2Pt structure, from Alexandria via LeMat-Bulk.

Cell lengths 8.897, 8.897, 7.076 Å; angles 101.49, 101.49, 31.36 degrees
Sites, in units of the cell vectors:
Ba 0.080 0.080 0.268
Ba 0.347 0.347 0.182
Ba 0.653 0.653 0.818
Ba 0.920 0.920 0.732
Ag 0.262 0.262 0.620
Ag 0.738 0.738 0.380
Pt 0.500 0.500 0.000

Summary:
total DFT energy (no corrections): -3.185 eV per atom
density of states at the Fermi level: 3.5 states/eV per cell
total magnetization: 0.0 μB/cell
formation enthalpy at 0 K: -0.41 eV per atom

***

8.
The following is a GGA-PBE calculation of a geometry-optimized Ba2AgPt2 structure, from Alexandria via LeMat-Bulk.

Cell lengths 6.113, 6.113, 6.113 Å; angles 132.95, 123.30, 76.68 degrees
Sites, in units of the cell vectors:
Ba 0.194 0.194 0.000
Ba 0.806 0.806 0.000
Ag 0.500 0.000 0.500
Pt 0.245 0.500 0.745
Pt 0.755 0.500 0.255

Summary:
total DFT energy (no corrections): -4.356 eV per atom
density of states at the Fermi level: 2.1 states/eV per cell
distance to the lowest polymorph of the same formula: 0 meV/atom
total magnetization: 0.0 μB/cell
formation enthalpy at 0 K: -0.60 eV per atom